No. 1
Entry from Alexandria: crystalline Hf2NbIr at its relaxed geometry (PBE-GGA).

Cell lengths 3.3846, 4.6648, 4.6648 Å; angles 90.00, 90.00, 90.00 degrees
With the nearest neighbours (Å) after each atom.
Element x y z (fractional)
Hf 0.0000 0.5000 0.0000  4 Nb 2.88, 4 Ir 2.88
Hf 0.0000 0.0000 0.5000  4 Ir 2.88, 4 Nb 2.88
Nb 0.5000 0.5000 0.5000  8 Hf 2.88
Ir 0.5000 0.0000 0.0000  8 Hf 2.88

VASP energy = -10.19 eV per atom

No. 2
Entry from Alexandria: crystalline CeHoGe2Rh5 at its relaxed geometry (PBE-GGA).

Cell lengths 3.9353, 3.9353, 11.7648 Å; angles 90.00, 90.00, 90.00 degrees
With the nearest neighbours (Å) after each atom.
Element x y z (fractional)
Ho 0.5000 0.5000 0.5000  4 Rh 2.78
Rh 0.0000 0.0000 0.5000  2 Ge 2.39
Ge 0.0000 0.0000 0.2968  5 Rh 2.39-2.47
Rh 0.0000 0.5000 0.1703  2 Ge 2.47
Ce 0.0000 0.0000 0.0000  8 Rh 2.81
Ge 0.0000 0.0000 0.7032  5 Rh 2.39-2.47
Rh 0.5000 0.0000 0.1703  2 Ge 2.47
Rh 0.5000 0.0000 0.8297  2 Ge 2.47
Rh 0.0000 0.5000 0.8297  2 Ge 2.47

VASP energy = -6.68 eV per atom

No. 3
Entry from Alexandria: crystalline BaLa2ZnRu at its relaxed geometry (PBE-GGA).

Cell lengths 5.4412, 5.4412, 5.3867 Å; angles 90.00, 90.00, 90.00 degrees
With the nearest neighbours (Å) after each atom.
Element x y z (fractional)
Zn 0.0000 0.0000 0.5000  2 Ru 2.69
La 0.5000 0.0000 0.0000  2 Ru 2.72
Ru 0.0000 0.0000 0.0000  2 Zn 2.69, 4 La 2.72
La 0.0000 0.5000 0.0000  2 Ru 2.72
Ba 0.5000 0.5000 0.5000  8 La 3.83, 4 Zn 3.85

VASP energy = -4.58 eV per atom

No. 4
Entry from Alexandria: crystalline MgPaP2 at its relaxed geometry (PBE-GGA).

Cell lengths 3.5086, 4.5831, 4.5831 Å; angles 90.00, 90.00, 90.00 degrees
With the nearest neighbours (Å) after each atom.
Element x y z (fractional)
Pa 0.5000 0.5000 0.5000  8 P 2.89
Mg 0.5000 0.0000 0.0000  8 P 2.89
P 0.0000 0.5000 0.0000  4 Mg 2.89, 4 Pa 2.89
P 0.0000 0.0000 0.5000  4 Mg 2.89, 4 Pa 2.89

Energy above the lowest structure with this stoichiometry = 62.7 meV per atom

No. 5
Entry from Alexandria: crystalline PmPr2Cd at its relaxed geometry (PBE-GGA).

Cell lengths 3.7029, 3.7029, 11.4018 Å; angles 80.65, 80.65, 60.00 degrees
With the nearest neighbours (Å) after each atom.
Element x y z (fractional)
Cd 0.6668 0.6668 0.9997  6 Pr 3.36, 6 Cd 3.70
Pr 0.0773 0.0773 0.7680  3 Cd 3.36, 3 Pm 3.68, 6 Pr 3.70
Pr 0.2562 0.2562 0.2315  3 Cd 3.36, 3 Pm 3.70, 6 Pr 3.70
Pm 0.4997 0.4997 0.5008  6 Pr 3.68-3.70, 6 Pm 3.70

Energy above the lowest structure with this stoichiometry = 96.0 meV per atom

No. 6
Entry from Alexandria: crystalline YTmTlO2 at its relaxed geometry (PBE-GGA).

Cell lengths 3.8394, 3.8394, 7.5198 Å; angles 104.79, 104.79, 90.00 degrees
With the nearest neighbours (Å) after each atom.
Element x y z (fractional)
Y 0.8300 0.8300 0.6601  4 O 2.24
Tl 0.5008 0.5008 0.0015  4 Y 3.62, 4 Tm 3.63, 4 Tl 3.84, 8 O 3.97-4.03
O 0.7482 0.2482 0.4964  2 Tm 2.19, 2 Y 2.24
Tm 0.1728 0.1728 0.3457  4 O 2.19
O 0.2482 0.7482 0.4964  2 Tm 2.19, 2 Y 2.24

Energy relative to the elements, uncorrected = -2.457 eV/atom

No. 7
Entry from Alexandria: crystalline LiEr2TlS4 at its relaxed geometry (PBE-GGA).

Cell lengths 3.9848, 6.9761, 13.9928 Å; angles 90.00, 90.00, 106.59 degrees
With the nearest neighbours (Å) after each atom.
Element x y z (fractional)
S 0.0000 0.0000 0.5000  4 Er 2.81
S 0.2619 0.5239 0.3955  1 Li 2.34
S 0.7381 0.4761 0.6045  1 Li 2.34
Er 0.3657 0.7314 0.5609  6 S 2.69-2.81
S 0.7381 0.4761 0.8955  1 Li 2.34
Er 0.3657 0.7314 0.9391  6 S 2.69-2.81
Er 0.6343 0.2686 0.0609  6 S 2.69-2.81
S 0.2619 0.5239 0.1045  1 Li 2.34
Li 0.8247 0.6494 0.7500  4 S 2.34-2.38
S 0.4215 0.8429 0.7500  2 Li 2.38
S 0.5785 0.1571 0.2500  2 Li 2.38
Tl 0.8996 0.7992 0.2500  6 S 3.11-3.39
Li 0.1753 0.3506 0.2500  4 S 2.34-2.38
Tl 0.1004 0.2008 0.7500  6 S 3.11-3.39
Er 0.6343 0.2686 0.4391  6 S 2.69-2.81
S 0.0000 0.0000 0.0000  4 Er 2.81

Energy relative to the elements, uncorrected = -1.642 eV/atom

No. 8
Entry from Alexandria: crystalline Ca2TcHgF at its relaxed geometry (PBE-GGA).

Cell lengths 4.4873, 5.1579, 4.4873 Å; angles 90.00, 90.00, 90.00 degrees
With the nearest neighbours (Å) after each atom.
Element x y z (fractional)
Ca 0.5000 0.0000 0.0000  2 F 2.24
F 0.0000 0.0000 0.0000  4 Ca 2.24
Hg 0.0000 0.5000 0.0000  2 F 2.58
Tc 0.5000 0.5000 0.5000  4 Hg 3.17, 8 Ca 3.42
Ca 0.0000 0.0000 0.5000  2 F 2.24

Energy relative to the elements, uncorrected = -0.554 eV/atom

No. 9
Entry from Alexandria: crystalline Pm2PrDy2Y2 at its relaxed geometry (PBE-GGA).

Cell lengths 5.1024, 6.2351, 8.0787 Å; angles 97.42, 90.00, 114.15 degrees
With the nearest neighbours (Å) after each atom.
Element x y z (fractional)
Y 0.2855 0.5711 0.8573  3 Pr 3.60-3.61, 4 Dy 3.60-3.62, 2 Y 3.61, 3 Pm 3.61-3.62
Pr 0.0000 0.0000 0.0000  6 Y 3.60-3.61, 2 Pm 3.61, 4 Dy 3.61
Pm 0.8578 0.7157 0.5705  3 Pm 3.58-3.61, 5 Dy 3.60-3.61, 3 Y 3.61-3.62, 1 Pr 3.61
Pm 0.1422 0.2843 0.4295  3 Pm 3.58-3.61, 5 Dy 3.60-3.61, 3 Y 3.61-3.62, 1 Pr 3.61
Dy 0.5717 0.1433 0.7134  5 Pm 3.60-3.61, 1 Dy 3.60, 4 Y 3.60-3.62, 2 Pr 3.61
Dy 0.4283 0.8567 0.2866  5 Pm 3.60-3.61, 1 Dy 3.60, 4 Y 3.60-3.62, 2 Pr 3.61
Y 0.7145 0.4289 0.1427  3 Pr 3.60-3.61, 4 Dy 3.60-3.62, 2 Y 3.61, 3 Pm 3.61-3.62

VASP energy = -5.19 eV per atom

No. 10
Entry from Alexandria: crystalline Pr3Ta2N7 at its relaxed geometry (PBE-GGA).

Cell lengths 3.8568, 4.1535, 10.7278 Å; angles 101.16, 90.00, 90.00 degrees
With the nearest neighbours (Å) after each atom.
Element x y z (fractional)
N 0.0000 0.0000 0.0000  2 Ta 1.98
N 0.0000 0.7676 0.5352  2 N 2.21
Ta 0.0000 0.0941 0.1882  5 N 1.98-2.08
N 0.5000 0.8824 0.7649  2 Ta 1.99
N 0.0000 0.5961 0.1922  2 Ta 2.08
Pr 0.5000 0.3153 0.6306  6 N 2.51-2.68
Ta 0.0000 0.9059 0.8118  5 N 1.98-2.08
N 0.5000 0.1176 0.2351  2 Ta 1.99
N 0.0000 0.2324 0.4648  2 N 2.21
Pr 0.5000 0.5000 0.0000  8 N 2.79-2.83
Pr 0.5000 0.6847 0.3694  6 N 2.51-2.68
N 0.0000 0.4039 0.8078  2 Ta 2.08

Energy relative to the elements, uncorrected = -0.947 eV/atom

No. 11
Entry from Alexandria: crystalline Tc2PbAu at its relaxed geometry (PBE-GGA).

Cell lengths 5.9549, 5.9549, 5.9549 Å; angles 151.33, 132.47, 56.46 degrees
With the nearest neighbours (Å) after each atom.
Element x y z (fractional)
Tc 0.7835 0.2835 0.5000  2 Tc 2.49
Tc 0.9744 0.9744 0.0000  2 Tc 2.49
Au 0.5152 0.5152 0.0000  6 Tc 2.85-3.18, 2 Au 2.95
Pb 0.2270 0.7270 0.5000  6 Tc 2.88-3.03, 2 Pb 2.95

VASP energy = -6.35 eV per atom

No. 12
Entry from Alexandria: crystalline Sm2MgRh at its relaxed geometry (PBE-GGA).

Cell lengths 3.9459, 3.9486, 8.8936 Å; angles 102.79, 89.99, 119.99 degrees
With the nearest neighbours (Å) after each atom.
Element x y z (fractional)
Rh 0.5839 0.9247 0.5523  6 Sm 2.80
Mg 0.0846 0.9247 0.0520  6 Sm 3.51
Sm 0.3139 0.3845 0.7419  3 Rh 2.80
Sm 0.8542 0.4651 0.3628  3 Rh 2.80

Energy above the lowest structure with this stoichiometry = 79.1 meV per atom

Which formula does entry 11 have?
Tc2PbAu